# 1
Sr3Ac3Sn4: relaxed, GGA-PBE.

Computed properties:
symmetry: Amm2 (38)
DOS at the Fermi energy: 7.8 states/eV/cell
raw total energy: -39.904 eV per cell
crystal system: orthorhombic
formation energy from the elements: -652 meV per atom
magnetization: 0.000 μB per atom

Cell: 4.9584 8.6583 8.6583 Å, 89.58 90.00 90.00°
Atoms (fractional coordinates):
Sr: 0.0000 0.0000 0.0000
Sr: 0.5000 0.3241 0.8279
Sr: 0.5000 0.8279 0.3241
Ac: 0.0000 0.1535 0.5008
Ac: 0.0000 0.5008 0.1535
Ac: 0.0000 0.6547 0.6547
Sn: 0.5000 0.2085 0.2085
Sn: 0.5000 0.4494 0.4494
Sn: 0.5000 0.7026 0.9467
Sn: 0.5000 0.9467 0.7026

# 2
SrAc2Sn: relaxed, GGA-PBE.

Computed properties:
symmetry: Fm-3m (225)
DOS at the Fermi energy: 6.2 states/eV/cell
raw total energy: -14.514 eV per cell
crystal system: cubic
formation energy from the elements: -153 meV per atom
magnetization: 0.005 μB per atom
energy above the most stable polymorph in this dataset: 170 meV/atom

Cell: 6.0133 6.0133 6.0133 Å, 60.00 60.00 60.00°
Atoms (fractional coordinates):
Sr: 0.0000 0.0000 0.0000
Ac: 0.2500 0.2500 0.2500
Ac: 0.7500 0.7500 0.7500
Sn: 0.5000 0.5000 0.5000

# 3
SrAc2Sn9: relaxed, GGA-PBE.

Computed properties:
symmetry: P4/mmm (123)
DOS at the Fermi energy: 6.8 states/eV/cell
raw total energy: -51.525 eV per cell
crystal system: tetragonal
formation energy from the elements: -467 meV per atom
magnetization: 0.000 μB per atom

Cell: 4.9156 4.9156 14.6419 Å, 90.00 90.00 90.00°
Atoms (fractional coordinates):
Sr: 0.0000 0.0000 0.0000
Ac: 0.0000 0.0000 0.3333
Ac: 0.0000 0.0000 0.6667
Sn: 0.0000 0.5000 0.1633
Sn: 0.0000 0.5000 0.5000
Sn: 0.0000 0.5000 0.8367
Sn: 0.5000 0.0000 0.1633
Sn: 0.5000 0.0000 0.5000
Sn: 0.5000 0.0000 0.8367
Sn: 0.5000 0.5000 0.0000
Sn: 0.5000 0.5000 0.3312
Sn: 0.5000 0.5000 0.6688

# 4
Sr2Ac2Sn7: relaxed, GGA-PBE.

Computed properties:
symmetry: Cmmm (65)
DOS at the Fermi energy: 10.9 states/eV/cell
raw total energy: -41.292 eV per cell
crystal system: orthorhombic
formation energy from the elements: -154 meV per atom
magnetization: 0.000 μB per atom

Cell: 7.5496 7.5496 7.4967 Å, 90.00 90.00 100.89°
Atoms (fractional coordinates):
Sr: 0.1825 0.1825 0.0000
Sr: 0.8175 0.8175 0.0000
Ac: 0.2910 0.7090 0.5000
Ac: 0.7090 0.2910 0.5000
Sn: 0.0000 0.0000 0.5000
Sn: 0.0000 0.5000 0.1919
Sn: 0.0000 0.5000 0.8081
Sn: 0.5000 0.0000 0.1919
Sn: 0.5000 0.0000 0.8081
Sn: 0.5000 0.5000 0.1882
Sn: 0.5000 0.5000 0.8118

# 5
SrAc7Sn4: relaxed, GGA-PBE.

Computed properties:
symmetry: C2/m (12)
DOS at the Fermi energy: 11.3 states/eV/cell
raw total energy: -49.173 eV per cell
crystal system: monoclinic
formation energy from the elements: -227 meV per atom
magnetization: 0.000 μB per atom

Cell: 8.2729 8.2729 11.9266 Å, 122.18 122.18 44.78°
Atoms (fractional coordinates):
Sr: 0.0000 0.0000 0.0000
Ac: 0.0611 0.0611 0.3803
Ac: 0.2135 0.2135 0.8860
Ac: 0.3148 0.3148 0.3870
Ac: 0.5000 0.5000 0.0000
Ac: 0.6852 0.6852 0.6130
Ac: 0.7865 0.7865 0.1140
Ac: 0.9389 0.9389 0.6197
Sn: 0.3071 0.3071 0.6722
Sn: 0.4374 0.4374 0.2357
Sn: 0.5626 0.5626 0.7643
Sn: 0.6929 0.6929 0.3278

# 6
SrAc4Sn5: relaxed, GGA-PBE.

Computed properties:
symmetry: P4/mmm (123)
DOS at the Fermi energy: 5.9 states/eV/cell
raw total energy: -44.258 eV per cell
crystal system: tetragonal
formation energy from the elements: -613 meV per atom
magnetization: 0.000 μB per atom

Cell: 3.8073 3.8073 23.2408 Å, 90.00 90.00 90.00°
Atoms (fractional coordinates):
Sr: 0.0000 0.0000 0.0000
Ac: 0.0000 0.0000 0.1989
Ac: 0.0000 0.0000 0.4001
Ac: 0.0000 0.0000 0.5999
Ac: 0.0000 0.0000 0.8011
Sn: 0.5000 0.5000 0.0997
Sn: 0.5000 0.5000 0.2998
Sn: 0.5000 0.5000 0.5000
Sn: 0.5000 0.5000 0.7002
Sn: 0.5000 0.5000 0.9003

# 7
SrAc8Sn6: relaxed, GGA-PBE.

Computed properties:
symmetry: R-3 (148)
DOS at the Fermi energy: 6.4 states/eV/cell
raw total energy: -66.833 eV per cell
crystal system: trigonal
formation energy from the elements: -551 meV per atom
magnetization: 0.000 μB per atom

Cell: 9.0459 9.0459 9.0459 Å, 66.89 66.89 66.89°
Atoms (fractional coordinates):
Sr: 0.0000 0.0000 0.0000
Ac: 0.1021 0.4315 0.7713
Ac: 0.2287 0.8979 0.5685
Ac: 0.3339 0.3339 0.3339
Ac: 0.4315 0.7713 0.1021
Ac: 0.5685 0.2287 0.8979
Ac: 0.6661 0.6661 0.6661
Ac: 0.7713 0.1021 0.4315
Ac: 0.8979 0.5685 0.2287
Sn: 0.0677 0.7338 0.4038
Sn: 0.2662 0.5962 0.9323
Sn: 0.4038 0.0677 0.7338
Sn: 0.5962 0.9323 0.2662
Sn: 0.7338 0.4038 0.0677
Sn: 0.9323 0.2662 0.5962

# 8
SrAcSn: relaxed, GGA-PBE.

Computed properties:
symmetry: P3m1 (156)
DOS at the Fermi energy: 3.5 states/eV/cell
raw total energy: -10.727 eV per cell
crystal system: trigonal
formation energy from the elements: -311 meV per atom
magnetization: 0.000 μB per atom
energy above the most stable polymorph in this dataset: 192 meV/atom

Cell: 5.4918 5.4918 4.3731 Å, 90.00 90.00 120.00°
Atoms (fractional coordinates):
Sr: 0.0000 0.0000 0.0000
Ac: 0.6667 0.3333 0.4553
Sn: 0.3333 0.6667 0.7633

# 9
Sr2AcSn: relaxed, GGA-PBE.

Computed properties:
symmetry: P4/mmm (123)
DOS at the Fermi energy: 2.1 states/eV/cell
raw total energy: -12.531 eV per cell
crystal system: tetragonal
formation energy from the elements: -264 meV per atom
magnetization: 0.000 μB per atom
energy above the most stable polymorph in this dataset: 35 meV/atom

Cell: 3.9136 3.9136 10.6807 Å, 90.00 90.00 90.00°
Atoms (fractional coordinates):
Sr: 0.0000 0.0000 0.1976
Sr: 0.0000 0.0000 0.8024
Ac: 0.5000 0.5000 0.5000
Sn: 0.5000 0.5000 0.0000

# 10
SrAcSn: relaxed, GGA-PBE.

Computed properties:
symmetry: P4/nmm (129)
DOS at the Fermi energy: 5.2 states/eV/cell
raw total energy: -22.609 eV per cell
crystal system: tetragonal
formation energy from the elements: -504 meV per atom
magnetization: 0.337 μB per atom
energy above the most stable polymorph in this dataset: 0 meV/atom

Cell: 4.9968 4.9968 9.2072 Å, 90.00 90.00 90.00°
Atoms (fractional coordinates):
Sr: 0.2500 0.7500 0.0000
Sr: 0.7500 0.2500 0.0000
Ac: 0.2500 0.2500 0.3632
Ac: 0.7500 0.7500 0.6368
Sn: 0.2500 0.2500 0.7337
Sn: 0.7500 0.7500 0.2663

# 11
SrAc2Sn: relaxed, GGA-PBE.

Computed properties:
symmetry: Cmcm (63)
DOS at the Fermi energy: 9.6 states/eV/cell
raw total energy: -30.388 eV per cell
crystal system: orthorhombic
formation energy from the elements: -323 meV per atom
magnetization: 0.009 μB per atom
energy above the most stable polymorph in this dataset: 0 meV/atom

Cell: 7.3380 7.3380 10.3621 Å, 90.00 90.00 142.65°
Atoms (fractional coordinates):
Sr: 0.0628 0.9372 0.7500
Sr: 0.9372 0.0628 0.2500
Ac: 0.3536 0.6464 0.5541
Ac: 0.3536 0.6464 0.9459
Ac: 0.6464 0.3536 0.0541
Ac: 0.6464 0.3536 0.4459
Sn: 0.2533 0.7467 0.2500
Sn: 0.7467 0.2533 0.7500

> The highest raw total energy belongs to which entry?

number 8

> Look up the raw total energy of the eighth one.

-10.727 eV per cell

Please write out number 2 again, unchanged.
SrAc2Sn: relaxed, GGA-PBE.

Computed properties:
symmetry: Fm-3m (225)
DOS at the Fermi energy: 6.2 states/eV/cell
raw total energy: -14.514 eV per cell
crystal system: cubic
formation energy from the elements: -153 meV per atom
magnetization: 0.005 μB per atom
energy above the most stable polymorph in this dataset: 170 meV/atom

Cell: 6.0133 6.0133 6.0133 Å, 60.00 60.00 60.00°
Atoms (fractional coordinates):
Sr: 0.0000 0.0000 0.0000
Ac: 0.2500 0.2500 0.2500
Ac: 0.7500 0.7500 0.7500
Sn: 0.5000 0.5000 0.5000

> Look up the magnetization of the ninth one.

0.000 μB per atom